VASP calculation (meta-GGA SCAN) on a crystal of SrTl2Au2 relaxed with PBEsol.

The formation energy comes out at -0.471 eV per atom.

The space group is I4/mmm (No. 139) and the conventional cell measures 4.465, 4.465 and 12.808 Å, with angles of 90.00, 90.00 and 90.00 degrees. The inequivalent atoms are Sr at (0.000, 0.000, 0.000), Tl at (0.000, 0.500, 0.250) and Au at (0.000, 0.000, 0.397).

VASP calculation (meta-GGA SCAN) on a crystal of YCd20Ni2 relaxed with PBEsol.

The formation energy comes out at -0.106 eV per atom.

The space group is Fd-3m (No. 227, origin choice 2) and the conventional cell measures 15.367, 15.367 and 15.367 Å, with angles of 90.00, 90.00 and 90.00 degrees. The inequivalent atoms are Y at (0.125, 0.125, 0.125), Cd at (0.000, 0.000, 0.000), Cd at (0.012, 0.375, 0.875), Cd at (0.060, 0.060, 0.324) and Ni at (0.000, 0.000, 0.500).

VASP calculation (meta-GGA SCAN) on a crystal of CdFe2SnHg relaxed with PBEsol.

The formation energy comes out at 1.163 eV per atom.

The space group is P4/mmm (No. 123) and the conventional cell measures 4.854, 4.854 and 5.207 Å, with angles of 90.00, 90.00 and 90.00 degrees. The inequivalent atoms are Cd at (0.000, 0.000, 0.000), Fe at (0.000, 0.500, 0.000), Sn at (0.000, 0.000, 0.500) and Hg at (0.500, 0.500, 0.500).

no.,size of the total moment (μB per cell)
1,0.0
2,0.0
3,6.7